No. 1
Crystalline DyTm2Sb3 at its relaxed geometry. Source: the Open Quantum Materials Database, functional PBE.

Geometry as extended XYZ:
```
6
Lattice="-3.300 1.072 2.622 -0.729 -0.735 -4.224 -1.691 -10.303 2.084" Properties=species:S:1:pos:R:3 pbc="T T T"
Sb -3.847 -8.086 2.070
Sb -1.872 -1.880 -1.589
Sb -0.845 -5.151 1.042
Dy 0.000 0.000 0.000
Tm -3.009 -2.978 1.037
Tm -2.711 -6.988 -0.556
```

## Properties
**Magnetic moment**: 0.0 μB/f.u.
**Total energy**: -32.4 eV for the cell shown
**Symmetry**: No. 164

No. 2
Crystalline Ba2CdBiP at its relaxed geometry. Source: the Open Quantum Materials Database, functional PBE.

Geometry as extended XYZ:
```
10
Lattice="-9.569 2.399 1.653 7.225 -4.818 -4.963 -0.664 -5.986 4.845" Properties=species:S:1:pos:R:3 pbc="T T T"
Bi 1.453 -5.210 -0.589
Bi -4.736 -5.686 4.140
P -9.155 -3.585 5.734
P 5.914 -6.926 -2.494
Ba 1.350 -8.141 1.626
Ba -0.932 -2.699 -0.737
Ba -2.037 -5.359 1.991
Ba -4.600 -2.449 1.678
Cd 5.421 -4.651 -3.808
Cd -8.226 -1.922 3.860
```

## Properties
**Total energy**: -36.3 eV for the cell shown
**Symmetry**: No. 36

No. 3
Crystalline PuCdNi at its relaxed geometry. Source: the Open Quantum Materials Database, functional PBE.

Geometry as extended XYZ:
```
3
Lattice="-0.898 -4.133 1.426 -0.268 -0.843 4.375 -3.954 -0.910 1.860" Properties=species:S:1:pos:R:3 pbc="T T T"
Ni 0.000 0.000 0.000
Cd -3.840 -4.414 5.745
Pu -1.280 -1.471 1.915
```

## Properties
**Magnetic moment**: 5.5 μB/f.u.
**Formation energy**: 55.3 meV per atom
**Symmetry**: No. 216

No. 4
Crystalline ErTmZnCo2 at its relaxed geometry. Source: the Open Quantum Materials Database, functional PBE.

Geometry as extended XYZ:
```
5
Lattice="-0.573 -5.000 1.545 -4.957 -0.879 -1.540 4.474 1.329 -2.435" Properties=species:S:1:pos:R:3 pbc="T T T"
Co -1.938 -3.714 -0.185
Co 0.885 -0.832 -2.244
Er 0.801 -3.058 -0.444
Tm -1.858 -1.493 -1.986
Zn -0.002 -0.002 0.000
```

## Properties
**Magnetic moment**: 0.1 μB/f.u.
**Formation energy**: -336.2 meV per atom
**Symmetry**: No. 44

> Number 2 is which compound?

Ba2CdBiP

Repeat the first record exactly.
Crystalline DyTm2Sb3 at its relaxed geometry. Source: the Open Quantum Materials Database, functional PBE.

Geometry as extended XYZ:
```
6
Lattice="-3.300 1.072 2.622 -0.729 -0.735 -4.224 -1.691 -10.303 2.084" Properties=species:S:1:pos:R:3 pbc="T T T"
Sb -3.847 -8.086 2.070
Sb -1.872 -1.880 -1.589
Sb -0.845 -5.151 1.042
Dy 0.000 0.000 0.000
Tm -3.009 -2.978 1.037
Tm -2.711 -6.988 -0.556
```

## Properties
**Magnetic moment**: 0.0 μB/f.u.
**Total energy**: -32.4 eV for the cell shown
**Symmetry**: No. 164